# 1
Density functional theory data (GGA-PBE) for a relaxed structure of PmDy2Mn.

The structure in CIF format:
```
data_PmDy2Mn
_chemical_formula_sum 'Pm3 Dy6 Mn3'
_space_group_name_H-M_alt 'R -3 m'
_space_group_IT_number 166
_space_group_name_Hall '-R 3 2"'
_cell_length_a 3.4133
_cell_length_b 3.4133
_cell_length_c 34.1923
_cell_angle_alpha 90.00
_cell_angle_beta 90.00
_cell_angle_gamma 120.00
loop_
_atom_site_label
_atom_site_type_symbol
_atom_site_fract_x
_atom_site_fract_y
_atom_site_fract_z
Pm1 Pm 0.0000 0.0000 0.0000
Dy1 Dy 0.0000 0.0000 0.4193
Mn1 Mn 0.0000 0.0000 0.5000
```

Energy above the lowest structure with this stoichiometry in meV per atom: 399

=====

# 2
Density functional theory data (GGA-PBE) for a relaxed structure of Pm2DyMnS5.

The structure in CIF format:
```
data_Pm2DyMnS5
_chemical_formula_sum 'Pm8 Dy4 Mn4 S20'
_space_group_name_H-M_alt 'C m c 21'
_space_group_IT_number 36
_cell_length_a 3.908
_cell_length_b 16.537
_cell_length_c 11.928
_cell_angle_alpha 90.00
_cell_angle_beta 90.00
_cell_angle_gamma 90.00
loop_
_space_group_symop_operation_xyz
'x,y,z'
'-x,-y,z+1/2'
'-x,y,z'
'x,-y,z+1/2'
'x+1/2,y+1/2,z'
'-x+1/2,-y+1/2,z+1/2'
'-x+1/2,y+1/2,z'
'x+1/2,-y+1/2,z+1/2'
loop_
_atom_site_label
_atom_site_type_symbol
_atom_site_fract_x
_atom_site_fract_y
_atom_site_fract_z
Pm1 Pm 0.000 0.119 0.000
Pm2 Pm 0.000 0.122 0.652
Dy1 Dy 0.000 0.183 0.333
Mn1 Mn 0.000 0.450 0.735
S1 S 0.000 0.016 0.330
S2 S 0.000 0.301 0.994
S3 S 0.000 0.313 0.668
S4 S 0.000 0.347 0.325
S5 S 0.000 0.493 0.061
```

Energy relative to the elements, uncorrected in eV per formula unit: -15.456

=====

# 3
Density functional theory data (GGA-PBE) for a relaxed structure of PmDyMnZn.

The structure in CIF format:
```
data_PmDyMnZn
_chemical_formula_sum 'Pm4 Dy4 Mn4 Zn4'
_space_group_name_H-M_alt 'F -4 3 m'
_space_group_IT_number 216
_space_group_name_Hall 'F -4 2 3'
_cell_length_a 7.191
_cell_length_b 7.191
_cell_length_c 7.191
_cell_angle_alpha 90.00
_cell_angle_beta 90.00
_cell_angle_gamma 90.00
loop_
_atom_site_label
_atom_site_type_symbol
_atom_site_fract_x
_atom_site_fract_y
_atom_site_fract_z
Pm1 Pm 0.000 0.000 0.000
Dy1 Dy 0.000 0.000 0.500
Mn1 Mn 0.250 0.250 0.250
Zn1 Zn 0.250 0.250 0.750
```

E in eV per atom: -4.97

=====

Please write out number 3 again, unchanged.
Density functional theory data (GGA-PBE) for a relaxed structure of PmDyMnZn.

The structure in CIF format:
```
data_PmDyMnZn
_chemical_formula_sum 'Pm4 Dy4 Mn4 Zn4'
_space_group_name_H-M_alt 'F -4 3 m'
_space_group_IT_number 216
_space_group_name_Hall 'F -4 2 3'
_cell_length_a 7.191
_cell_length_b 7.191
_cell_length_c 7.191
_cell_angle_alpha 90.00
_cell_angle_beta 90.00
_cell_angle_gamma 90.00
loop_
_atom_site_label
_atom_site_type_symbol
_atom_site_fract_x
_atom_site_fract_y
_atom_site_fract_z
Pm1 Pm 0.000 0.000 0.000
Dy1 Dy 0.000 0.000 0.500
Mn1 Mn 0.250 0.250 0.250
Zn1 Zn 0.250 0.250 0.750
```

E in eV per atom: -4.97